No. 1
The following is a PBE calculation of a relaxed structure of PmPtAu4, from Alexandria via LeMat-Bulk.

Structure (extended XYZ):
```
12
Lattice="6.5919 -3.6055 0.0000 6.5919 3.6055 0.0000 -1.7630 0.0000 5.1822" Properties=species:S:1:pos:R:3 pbc="T T T"
Pm 2.6046 0.0000 0.7828
Pm 8.8161 0.0000 4.3994
Pt 5.6726 0.0000 1.2447
Pt 5.7481 0.0000 3.9375
Au 4.2875 2.2060 2.1997
Au 6.5919 2.2493 0.0000
Au 7.1332 2.2060 2.9826
Au 2.9029 0.0000 3.8116
Au 8.5178 0.0000 1.3707
Au 4.2875 -2.2060 2.1997
Au 6.5919 -2.2493 0.0000
Au 7.1332 -2.2060 2.9826
```

size of the total moment	0.0	μB/f.u.
distance to the lowest polymorph of the same formula	0.003	eV per atom
calculated density	15.21	Mg/m³
formation enthalpy at 0 K	-416.6	meV/atom
energy	-0.1617	Ha/atom


No. 2
The following is a PBE calculation of a relaxed structure of NbHgMo3, from Alexandria via LeMat-Bulk.

Structure (extended XYZ):
```
5
Lattice="4.8633 0.0000 0.0000 0.0000 4.8633 0.0000 0.0000 0.0000 4.8633" Properties=species:S:1:pos:R:3 pbc="T T T"
Nb 0.0000 0.0000 0.0000
Hg 2.4317 2.4317 2.4317
Mo 0.0000 2.4317 2.4317
Mo 2.4317 0.0000 2.4317
Mo 2.4317 2.4317 0.0000
```

size of the total moment	0.0	μB/f.u.
distance to the lowest polymorph of the same formula	0.864	eV per atom
calculated density	8.39	Mg/m³
formation enthalpy at 0 K	2622.8	meV/atom
energy	-0.2187	Ha/atom


No. 3
The following is a PBE calculation of a relaxed structure of PrAl2Au10, from Alexandria via LeMat-Bulk.

Structure (extended XYZ):
```
13
Lattice="0.0000 6.4852 6.8715 2.8014 0.0000 6.8715 2.8014 6.4852 0.0000" Properties=species:S:1:pos:R:3 pbc="T T T"
Pr 0.0000 0.0000 0.0000
Al 1.4007 0.0000 3.4357
Al 1.4007 6.4852 3.4357
Au 1.4007 3.2426 0.0000
Au 2.8014 4.4339 2.3883
Au 2.8014 5.0994 5.2970
Au 2.8014 8.5364 2.3883
Au 2.8014 7.8709 5.2970
Au 1.4007 3.2426 6.8715
Au 2.8014 5.0994 8.4460
Au 2.8014 4.4339 11.3546
Au 2.8014 7.8709 8.4460
Au 2.8014 8.5364 11.3546
```

size of the total moment	0.0	μB/f.u.
calculated density	14.40	Mg/m³
formation enthalpy at 0 K	-350.8	meV/atom
energy	-0.1402	Ha/atom


No. 4
The following is a PBE calculation of a relaxed structure of ScMnBi2Sb, from Alexandria via LeMat-Bulk.

Structure (extended XYZ):
```
5
Lattice="5.5488 0.0000 0.0000 0.0000 5.5488 0.0000 0.0000 0.0000 5.3729" Properties=species:S:1:pos:R:3 pbc="T T T"
Sc 0.0000 0.0000 0.0000
Mn 2.7744 2.7744 2.6865
Bi 0.0000 2.7744 0.0000
Bi 2.7744 0.0000 0.0000
Sb 0.0000 0.0000 2.6865
```

size of the total moment	0.6	μB/f.u.
calculated density	6.42	Mg/m³
formation energy from raw total energies	1.0945	eV/atom
energy	-0.1611	Ha/atom


No. 5
The following is a PBE calculation of a relaxed structure of DyBiPd5, from Alexandria via LeMat-Bulk.

Structure (extended XYZ):
```
7
Lattice="-2.7191 3.5864 3.7391 2.7191 -3.5864 3.7391 2.7191 3.5864 -3.7391" Properties=species:S:1:pos:R:3 pbc="T T T"
Dy 0.0000 0.0000 0.0000
Bi 2.7191 0.0000 2.4299
Pd 2.7191 1.3205 0.0411
Pd 0.0000 0.0000 2.6457
Pd 1.3244 3.5864 1.4020
Pd 1.3947 0.0000 5.1411
Pd 0.0000 2.2659 3.7802
```

size of the total moment	0.0	μB/f.u.
calculated density	10.29	Mg/m³
formation enthalpy at 0 K	-228.3	meV/atom
energy	-0.1892	Ha/atom


> What is the calculated density in the fourth record?

6.42 Mg/m³


> Look up the size of the total moment of the fifth one.

0.0 μB/f.u.